(1)
# LiRh2Au

A geometry-optimized LiRh2Au structure (PBE-GGA, the Alexandria database).

Output
As for the total energy: -4.773 eV/atom. For the energy of formation, the calculation gives 0.201 eV per atom. The density of states at the Fermi level comes out at 9.65 states/eV/cell. As for the space group: I-42d, No. 122.

a b c (Å): 3.6598 3.6598 9.8761
angles (deg): 79.32 79.32 90.00
Closest atoms and distances in Å follow each position.
Positions (direct):
1 Rh 0.6118 0.1250 0.2500  4 Rh 2.52-2.66, 2 Li 2.70, 2 Au 2.73
2 Rh 0.1382 0.6250 0.2500  4 Rh 2.52-2.66, 2 Li 2.70, 2 Au 2.73
3 Rh 0.3750 0.3882 0.7500  4 Rh 2.52-2.66, 2 Li 2.70, 2 Au 2.73
4 Rh 0.8750 0.8618 0.7500  4 Rh 2.52-2.66, 2 Li 2.70, 2 Au 2.73
5 Au 0.0000 0.0000 0.0000  4 Li 2.59, 4 Rh 2.73
6 Au 0.7500 0.2500 0.5000  4 Li 2.59, 4 Rh 2.73
7 Li 0.5000 0.5000 0.0000  4 Au 2.59, 4 Rh 2.70
8 Li 0.2500 0.7500 0.5000  4 Au 2.59, 4 Rh 2.70

(2)
# LiRh2Au

A geometry-optimized LiRh2Au structure (PBE-GGA, the Alexandria database).

Output
As for the total energy: -4.969 eV/atom. For the energy of formation, the calculation gives 0.005 eV per atom. The density of states at the Fermi level comes out at 3.40 states/eV/cell. As for the space group: F-43m, No. 216.

a b c (Å): 4.3919 4.3919 4.3919
angles (deg): 60.00 60.00 60.00
Closest atoms and distances in Å follow each position.
Positions (direct):
1 Au 0.5000 0.5000 0.5000  4 Rh 2.69, 4 Li 2.69
2 Li 0.7500 0.7500 0.7500  4 Rh 2.69, 4 Au 2.69
3 Rh 0.0000 0.0000 0.0000  4 Rh 2.69, 4 Li 2.69
4 Rh 0.2500 0.2500 0.2500  4 Rh 2.69, 4 Au 2.69

(3)
# Li8RhAu6

A geometry-optimized Li8RhAu6 structure (PBE-GGA, the Alexandria database).

Output
As for the total energy: -3.179 eV/atom. For the energy of formation, the calculation gives -0.357 eV per atom. The density of states at the Fermi level comes out at 5.63 states/eV/cell. As for the space group: R-3, No. 148.

a b c (Å): 6.9337 6.9337 6.9337
angles (deg): 61.11 61.11 61.11
Closest atoms and distances in Å follow each position.
Positions (direct):
1 Li 0.1357 0.6632 0.8270  3 Au 2.56-2.68, 1 Rh 2.70, 1 Li 2.71
2 Li 0.1730 0.8643 0.3368  3 Au 2.56-2.68, 1 Rh 2.70, 1 Li 2.71
3 Li 0.3368 0.1730 0.8643  3 Au 2.56-2.68, 1 Rh 2.70, 1 Li 2.71
4 Li 0.5970 0.5970 0.5970  6 Au 2.70-2.78, 3 Li 2.71
5 Li 0.4030 0.4030 0.4030  6 Au 2.70-2.78, 3 Li 2.71
6 Li 0.6632 0.8270 0.1357  3 Au 2.56-2.68, 1 Rh 2.70, 1 Li 2.71
7 Li 0.8270 0.1357 0.6632  3 Au 2.56-2.68, 1 Rh 2.70, 1 Li 2.71
8 Li 0.8643 0.3368 0.1730  3 Au 2.56-2.68, 1 Rh 2.70, 1 Li 2.71
9 Rh 0.0000 0.0000 0.0000  6 Li 2.70, 6 Au 2.80
10 Au 0.9599 0.4673 0.7327  5 Li 2.56-2.78, 1 Rh 2.80, 1 Au 2.83
11 Au 0.2673 0.0401 0.5327  5 Li 2.56-2.78, 1 Rh 2.80, 1 Au 2.83
12 Au 0.5327 0.2673 0.0401  5 Li 2.56-2.78, 1 Rh 2.80, 1 Au 2.83
13 Au 0.4673 0.7327 0.9599  5 Li 2.56-2.78, 1 Rh 2.80, 1 Au 2.83
14 Au 0.7327 0.9599 0.4673  5 Li 2.56-2.78, 1 Rh 2.80, 1 Au 2.83
15 Au 0.0401 0.5327 0.2673  5 Li 2.56-2.78, 1 Rh 2.80, 1 Au 2.83

(4)
# LiRh4Au

A geometry-optimized LiRh4Au structure (PBE-GGA, the Alexandria database).

Output
As for the total energy: -5.535 eV/atom. For the energy of formation, the calculation gives 0.231 eV per atom. The density of states at the Fermi level comes out at 11.45 states/eV/cell. As for the space group: F-43m, No. 216.

a b c (Å): 5.1483 5.1483 5.1483
angles (deg): 60.00 60.00 60.00
Closest atoms and distances in Å follow each position.
Positions (direct):
1 Li 0.0000 0.0000 0.0000  12 Rh 3.02, 4 Au 3.15
2 Rh 0.8751 0.3750 0.3750  6 Rh 2.57
3 Rh 0.3750 0.3750 0.8751  6 Rh 2.57
4 Rh 0.3750 0.8751 0.3750  6 Rh 2.57
5 Rh 0.3750 0.3750 0.3750  6 Rh 2.57
6 Au 0.7500 0.7500 0.7500  12 Rh 3.02, 4 Li 3.15

The highest energy of formation belongs to which entry?
LiRh4Au